DFT (PBE) results for a geometry-optimized NpNiH6Pt structure.

Properties
As for the space-group type: P-6m2, No. 187. For the final energy, the calculation gives -46.23 eV per cell. As for the density: 10.8 g/cm3.

Unit cell a=4.5784 b=4.5784 c=4.2260 alpha=90.00 beta=90.00 gamma=60.00
Last column: nearest neighbours and their distance in Å.
Element x y z (fractional)
H: 0.5103 0.9797 0.7666  1 Ni 1.68, 1 Pt 1.80
H: 0.9796 0.5103 0.2333  1 Ni 1.68, 1 Pt 1.80
H: 0.9796 0.5100 0.7666  1 Ni 1.68, 1 Pt 1.80
H: 0.5100 0.9797 0.2333  1 Ni 1.68, 1 Pt 1.80
H: 0.5100 0.5103 0.7666  1 Ni 1.68, 1 Pt 1.80
H: 0.5103 0.5100 0.2333  1 Ni 1.68, 1 Pt 1.80
Ni: 0.6666 0.6667 0.5000  6 H 1.68
Np: 0.0000 0.0000 0.0000  12 H 2.49
Pt: 0.3333 0.3333 0.5000  6 H 1.80

***

DFT (PBE) results for a geometry-optimized Ta2Ti4Ru structure.

Properties
For the formation energy, the calculation gives 0.77 eV/atom. As for the space-group type: I4/mmm, No. 139. For the final energy, the calculation gives -59.15 eV per cell. As for the density: 7.8 g/cm3.

Unit cell a=4.5719 b=4.5719 c=7.4149 alpha=72.04 beta=72.04 gamma=90.00
Last column: nearest neighbours and their distance in Å.
Element x y z (fractional)
Ta: 0.6193 0.6193 0.7615  5 Ti 2.56-2.79
Ta: 0.3807 0.3807 0.2385  5 Ti 2.56-2.79
Ti: 0.0000 0.5000 0.0000  2 Ru 2.29
Ti: 0.1887 0.1887 0.6225  1 Ru 2.52, 1 Ta 2.56
Ti: 0.5000 0.0000 0.0000  2 Ru 2.29
Ti: 0.8113 0.8113 0.3775  1 Ru 2.52, 1 Ta 2.56
Ru: 0.0000 0.0000 0.0000  6 Ti 2.29-2.52